A relaxed CdFeRu2 crystal. Source: the Alexandria database, functional PBE-GGA.

Summary:
- total magnetization (μB per cell) = 2.642
- DFT total energy (eV/atom) = -6.67

Unit cell a=4.844 b=4.844 c=4.783 alpha=103.59 beta=103.59 gamma=33.29
Atoms (fractional coordinates):
Cd: 0.000 0.000 0.000
Fe: 0.500 0.500 0.500
Ru: 0.228 0.228 0.716
Ru: 0.772 0.772 0.284